This record from the Alexandria database describes an optimized crystal structure of ThU2C. The functional is PBE-GGA.

Cell lengths 3.1489, 3.1489, 8.1495 Å; angles 90.00, 90.00, 90.00 degrees
Last column: nearest neighbours and their distance in Å.
Space group P4/mmm (No. 123)
One atom of each set of equivalent atoms:
Th 0.0000 0.0000 0.0000 x1  4 Th 3.15
U 0.5000 0.5000 0.3402 x2  4 C 2.58, 1 U 2.60
C 0.0000 0.0000 0.5000 x1  8 U 2.58

Calculated values
ΔE to the lowest computed polymorph	1.06	kcal/mol of atoms
total DFT energy (no corrections)	-37.82	eV/cell
energy of formation from the pure elements	0.350	eV/atom
crystal system	tetragonal

This record from the Alexandria database describes an optimized crystal structure of ThU2C3. The functional is PBE-GGA.

Cell lengths 6.1577, 3.3256, 9.1821 Å; angles 90.00, 90.00, 90.00 degrees
Last column: nearest neighbours and their distance in Å.
Space group Pmma (No. 51)
One atom of each set of equivalent atoms:
Th 0.2500 0.0000 0.0690 x2  4 C 2.55
U 0.2500 0.0000 0.7100 x2  6 C 2.42-2.47
U 0.2500 0.5000 0.3961 x2  6 C 2.46
C 0.0000 0.0000 0.5000 x2  6 U 2.46-2.47
C 0.0059 0.5000 0.8091 x4  3 U 2.42-2.46, 2 Th 2.55

Calculated values
total DFT energy (no corrections)	-115.98	eV/cell
energy of formation from the pure elements	-0.054	eV/atom
crystal system	orthorhombic

This record from the Alexandria database describes an optimized crystal structure of ThUWC3. The functional is PBE-GGA.

Cell lengths 7.3416, 3.5802, 7.9991 Å; angles 90.00, 97.13, 90.00 degrees
Last column: nearest neighbours and their distance in Å.
Space group P2_1/m (No. 11)
One atom of each set of equivalent atoms:
Th 0.1597 0.2500 0.1692 x2  5 C 2.51-2.75
U 0.3631 0.7500 0.8361 x2  3 C 2.23-2.40
W 0.1087 0.2500 0.5959 x2  4 C 2.04-2.14
C 0.1263 0.2500 0.8528 x2  1 W 2.04
C 0.1783 0.7500 0.4963 x2  3 W 2.05-2.14
C 0.4196 0.7500 0.1168 x2  3 U 2.23-2.40

Calculated values
total DFT energy (no corrections)	-117.67	eV/cell
energy of formation from the pure elements	0.083	eV/atom
crystal system	monoclinic